Computed, not measured: an optimized crystal structure of SiTcP at the GGA-PBE level of DFT.

Output
The value obtained for the energy relative to the elements, uncorrected is -0.134 eV per atom. Its total energy is -7.20 eV per atom. Its symmetry is I4mm (107). The excess energy over the best structure of this formula in the dataset comes out at 145 meV per atom. The calculation puts the volume at 40.21 Å³ per cell. For the calculated density, the calculation gives 6.49 g/cm³.

Cell lengths 4.551, 4.551, 4.551 Å; angles 138.97, 138.97, 59.42 degrees
Fractional coordinates of all 3 atoms:
P1 0.993 0.993 0.000
Tc1 0.671 0.671 0.000
Si1 0.336 0.336 0.000

***

Computed, not measured: an optimized crystal structure of Si2Tc2P at the GGA-PBE level of DFT.

Output
The value obtained for the energy relative to the elements, uncorrected is -0.153 eV per atom. Its total energy is -7.55 eV per atom. Its symmetry is P4/mbm (127). The calculation puts the volume at 141.32 Å³ per cell. For the calculated density, the calculation gives 6.65 g/cm³.

Cell lengths 6.731, 6.731, 3.119 Å; angles 90.00, 90.00, 90.00 degrees
Fractional coordinates of all 10 atoms:
Si1 0.133 0.633 0.500
Tc1 0.338 0.838 0.000
Tc2 0.838 0.662 0.000
P1 0.500 0.500 0.000
Si2 0.367 0.133 0.500
Tc3 0.162 0.338 0.000
Si3 0.633 0.867 0.500
P2 0.000 0.000 0.000
Si4 0.867 0.367 0.500
Tc4 0.662 0.162 0.000

***

Computed, not measured: an optimized crystal structure of SiTc4P at the GGA-PBE level of DFT.

Output
The value obtained for the energy relative to the elements, uncorrected is 0.611 eV per atom. Its total energy is -8.10 eV per atom. Its symmetry is F-43m (216). The calculation puts the volume at 93.35 Å³ per cell. For the calculated density, the calculation gives 8.02 g/cm³.

Cell lengths 5.092, 5.092, 5.092 Å; angles 60.00, 60.00, 60.00 degrees
Fractional coordinates of all 6 atoms:
Si1 0.000 0.000 0.000
Tc1 0.376 0.376 0.376
Tc2 0.376 0.376 0.873
Tc3 0.873 0.376 0.376
P1 0.750 0.750 0.750
Tc4 0.376 0.873 0.376

***

Computed, not measured: an optimized crystal structure of SiTcP2 at the GGA-PBE level of DFT.

Output
The value obtained for the energy relative to the elements, uncorrected is 0.240 eV per atom. Its total energy is -6.41 eV per atom. Its symmetry is Cmmm (65). The calculation puts the volume at 53.92 Å³ per cell. For the calculated density, the calculation gives 5.79 g/cm³.

Cell lengths 4.311, 4.311, 3.020 Å; angles 90.00, 90.00, 106.13 degrees
Fractional coordinates of all 4 atoms:
Tc1 0.000 0.500 0.500
P1 0.500 0.500 0.000
P2 0.000 0.000 0.000
Si1 0.500 0.000 0.500